Model P:
A relaxed K2CuSbCl6 crystal, computed with PBE.

Unit cell a=7.5028 b=7.5534 c=8.5840 alpha=124.99 beta=129.98 gamma=74.80
Last column: magnetic moment on the atom in μB.
Element x y z (fractional)
Cl 0.8686 0.8400 0.0954  0.00
Cl 0.3607 0.2339 0.4362  0.00
Cl 0.6118 0.7205 0.4972  0.00
Cl 0.1785 0.1842 0.8787  0.00
Cl 0.2469 0.6824 0.9054  0.00
Cl 0.7667 0.3475 0.1003  0.00
K 0.7941 0.2780 0.4646  0.00
K 0.2306 0.7185 0.5347  0.00
Sb 0.0029 0.0112 0.9978  0.00
Cu 0.4381 0.4877 0.0877  0.08

Calculated values
symmetry: P1
V: 301.0 Å³/cell

---

Model Q:
A relaxed K2CuSbCl6 crystal, computed with PBE.

Unit cell a=7.3119 b=7.3119 c=7.3119 alpha=60.00 beta=60.00 gamma=60.00
Element x y z (fractional)
Cl 0.2582 0.7418 0.2582
Cl 0.7418 0.2582 0.2582
Cl 0.2582 0.7418 0.7418
Cl 0.7418 0.7418 0.2582
Cl 0.2582 0.2582 0.7418
Cl 0.7418 0.2582 0.7418
K 0.2500 0.2500 0.2500
K 0.7500 0.7500 0.7500
Sb 0.0000 0.0000 0.0000
Cu 0.5000 0.5000 0.5000

Calculated values
symmetry: Fm-3m
V: 276.4 Å³/cell

---

model P is favored, and the nearest alternative lies 0.040 eV/atom above it.

---

Model P:
A relaxed K2ScCuCl6 crystal, computed with PBE.

Unit cell a=7.5376 b=7.8582 c=9.1898 alpha=90.00 beta=90.00 gamma=90.00
Last column: magnetic moment on the atom in μB.
Element x y z (fractional)
K 0.0000 0.1970 0.2438  0.00
K 0.0000 0.1970 0.7562  0.00
K 0.5000 0.8030 0.2562  0.00
K 0.5000 0.8030 0.7438  0.00
Cl 0.2355 0.9603 0.0000  0.00
Cl 0.5000 0.2394 0.2274  0.00
Cl 0.0000 0.7606 0.2726  0.00
Cl 0.2259 0.5043 0.0000  0.00
Cl 0.7741 0.5043 0.0000  0.00
Cl 0.5000 0.2394 0.7726  0.00
Cl 0.2741 0.4957 0.5000  0.00
Cl 0.2645 0.0397 0.5000  0.00
Cl 0.7645 0.9603 0.0000  0.00
Cl 0.7355 0.0397 0.5000  0.00
Cl 0.0000 0.7606 0.7274  0.00
Cl 0.7259 0.4957 0.5000  0.00
Sc 0.0000 0.7405 0.0000  0.00
Sc 0.5000 0.2595 0.5000  0.00
Cu 0.0000 0.6324 0.5000  0.06
Cu 0.5000 0.3676 0.0000  0.06

Calculated values
symmetry: Pmmn
V: 544.3 Å³/cell

---

Model Q:
A relaxed K2ScCuCl6 crystal, computed with PBE.

Unit cell a=7.1154 b=7.1154 c=7.1154 alpha=60.00 beta=60.00 gamma=60.00
Last column: magnetic moment on the atom in μB.
Element x y z (fractional)
Cu 0.5000 0.5000 0.5000  0.06
Cl 0.7515 0.2485 0.2485  0.00
Cl 0.2485 0.7515 0.2485  0.00
Cl 0.2485 0.2485 0.7515  0.00
Cl 0.7515 0.7515 0.2485  0.00
Cl 0.2485 0.7515 0.7515  0.00
Cl 0.7515 0.2485 0.7515  0.00
Sc 0.0000 0.0000 0.0000  0.00
K 0.7500 0.7500 0.7500  0.00
K 0.2500 0.2500 0.2500  0.00

Calculated values
symmetry: Fm-3m
V: 254.7 Å³/cell

---

model P is favored, and the nearest alternative lies 0.015 eV/atom above it.

---

Model P:
A relaxed K2TbCuCl6 crystal, computed with PBE.

Unit cell a=7.6536 b=8.2706 c=9.2766 alpha=90.00 beta=89.89 gamma=90.00
Last column: magnetic moment on the atom in μB.
Element x y z (fractional)
Tb 0.5000 0.0000 0.0000  0.00
Tb 0.0000 0.5000 0.5000  0.00
Cl 0.2901 0.6623 0.4515  0.00
Cl 0.9047 0.5315 0.2185  0.00
Cl 0.1628 0.2236 0.4513  0.00
Cl 0.5953 0.0315 0.2815  0.00
Cl 0.7901 0.8377 0.9515  0.00
Cl 0.6628 0.2764 0.9513  0.00
Cl 0.7099 0.3377 0.5485  0.00
Cl 0.0953 0.4685 0.7815  0.00
Cl 0.3372 0.7236 0.0487  0.00
Cl 0.8372 0.7764 0.5487  0.00
Cl 0.2099 0.1623 0.0485  0.00
Cl 0.4047 0.9685 0.7185  0.00
Cu 0.5000 0.0000 0.5000  0.06
Cu 0.0000 0.5000 0.0000  0.06
K 0.5178 0.5819 0.7524  0.00
K 0.9822 0.0819 0.7476  0.00
K 0.4822 0.4181 0.2476  0.00
K 0.0178 0.9181 0.2524  0.00

Calculated values
symmetry: P2_1/c
V: 587.2 Å³/cell

---

Model Q:
A relaxed K2TbCuCl6 crystal, computed with PBE.

Unit cell a=7.3238 b=7.3238 c=7.3238 alpha=60.00 beta=60.00 gamma=60.00
Last column: magnetic moment on the atom in μB.
Element x y z (fractional)
Tb 0.0000 0.0000 0.0000  0.00
K 0.2500 0.2500 0.2500  0.00
K 0.7500 0.7500 0.7500  0.00
Cl 0.7450 0.7450 0.2550  0.00
Cl 0.2550 0.7450 0.2550  0.00
Cl 0.7450 0.2550 0.7450  0.00
Cl 0.2550 0.7450 0.7450  0.00
Cl 0.2550 0.2550 0.7450  0.00
Cl 0.7450 0.2550 0.2550  0.00
Cu 0.5000 0.5000 0.5000  0.07

Calculated values
symmetry: Fm-3m
V: 277.8 Å³/cell

---

model P is favored, and the nearest alternative lies 0.039 eV/atom above it.